Computed, not measured: a relaxed Pm2SmCd crystal at the PBE level of DFT.

Values from the calculation:
As for the total energy: -3.931 eV per atom. The excess energy over the best structure of this formula in the dataset comes out at 0.000 eV per atom. The calculation puts the energy of formation at -148 meV per atom. The calculated density comes out at 7370 kg/m3. Its volume is 31.14 Å³ per atom.

a = 3.710 Å, b = 3.710 Å, c = 9.050 Å
α = 90.00°, β = 90.00°, γ = 90.00°
Space group P4/mmm (No. 123)
Inequivalent atoms, fractional coordinates:
Pm 0.000 0.000 0.224 (multiplicity 2)
Sm 0.500 0.500 0.500 (multiplicity 1)
Cd 0.500 0.500 0.000 (multiplicity 1)

---

Computed, not measured: a relaxed PmSm2Cd4 crystal at the PBE level of DFT.

Values from the calculation:
As for the total energy: -2.713 eV per atom. The calculation puts the energy of formation at -163 meV per atom. The calculated density comes out at 7181 kg/m3. Its volume is 29.58 Å³ per atom.

a = 5.389 Å, b = 5.389 Å, c = 14.259 Å
α = 90.00°, β = 90.00°, γ = 90.00°
Space group I4/mmm (No. 139)
Inequivalent atoms, fractional coordinates:
Pm 0.000 0.000 0.000 (multiplicity 2)
Sm 0.000 0.000 0.260 (multiplicity 4)
Cd 0.000 0.500 0.115 (multiplicity 8)